DFT (PBE) results for GeCN3 after structural relaxation.

Its density of states at the Fermi level is 3.18 states/eV/f.u. The value obtained for the formation energy from raw total energies is 2.357 eV per atom. Its crystal system is cubic. As for the total energy: -5.41 eV/atom.

It has space group Pm-3m (No. 221), with a = 3.381 Å, b = 3.381 Å, c = 3.381 Å, α = 90.00°, β = 90.00° and γ = 90.00°. The inequivalent atoms are Ge at (0.000, 0.000, 0.000), C at (0.500, 0.500, 0.500) and N at (0.000, 0.500, 0.500).